A plane-wave DFT calculation with PBE was carried out for an optimized crystal structure of Ce5GaTc.

Cell and atoms, written as POSCAR:
```
Ce5GaTc
1.0
5.037 -3.418 0.000
5.037 3.418 0.000
-3.587 0.000 10.020
Ce Ga Tc
10 2 2
direct
0.003 0.553 0.342
0.041 0.959 0.750
0.203 0.499 0.943
0.447 0.997 0.158
0.499 0.203 0.443
0.501 0.797 0.557
0.553 0.003 0.842
0.797 0.501 0.057
0.959 0.041 0.250
0.997 0.447 0.658
0.463 0.537 0.250
0.537 0.463 0.750
0.000 0.000 0.000
0.000 0.000 0.500
```

Properties
Total magnetization   1.44 μB per formula unit
Space-group type   No. 15
ΔH_f (0 K)   -68 meV per atom
E   -6.22 eV/atom
Calculated volume   24.646 Å³/atom

---

A plane-wave DFT calculation with PBE was carried out for an optimized crystal structure of Mg2Hg3Pd8.

Cell and atoms, written as POSCAR:
```
Mg2Hg3Pd8
1.0
2.640 1.524 9.930
-2.640 1.524 9.930
0.000 -3.048 9.930
Mg Hg Pd
2 3 8
direct
0.139 0.139 0.139
0.861 0.861 0.861
0.317 0.317 0.317
0.500 0.500 0.500
0.683 0.683 0.683
0.224 0.224 0.224
0.234 0.234 0.732
0.234 0.732 0.234
0.268 0.766 0.766
0.732 0.234 0.234
0.766 0.268 0.766
0.766 0.766 0.268
0.776 0.776 0.776
```

Properties
Total magnetization   0.00 μB per formula unit
Space-group type   No. 166
ΔH_f (0 K)   -105 meV per atom
E   -3.62 eV/atom
Calculated volume   18.438 Å³/atom

---

A plane-wave DFT calculation with PBE was carried out for an optimized crystal structure of Li2AcZn2Pd2.

Cell and atoms, written as POSCAR:
```
Li2AcZn2Pd2
1.0
3.825 -2.216 0.000
3.825 2.216 0.000
-2.599 0.000 7.887
Li Ac Zn Pd
2 1 2 2
direct
0.142 0.142 0.427
0.858 0.858 0.573
0.000 0.000 0.000
0.439 0.439 0.317
0.561 0.561 0.683
0.252 0.252 0.755
0.748 0.748 0.245
```

Properties
Total magnetization   0.00 μB per formula unit
Space-group type   No. 12
ΔH_f (0 K)   -522 meV per atom
E   -3.50 eV/atom
Calculated volume   19.097 Å³/atom

---

A plane-wave DFT calculation with PBE was carried out for an optimized crystal structure of MgCdCu.

Cell and atoms, written as POSCAR:
```
MgCdCu
1.0
-1.666 1.666 4.746
1.666 -1.666 4.746
1.666 1.666 -4.746
Mg Cd Cu
1 1 1
direct
0.000 0.000 0.000
0.309 0.309 0.000
0.648 0.648 0.000
```

Properties
Energy above the lowest structure with this stoichiometry   13 meV/atom
Total magnetization   0.00 μB per formula unit
Space-group type   No. 107
ΔH_f (0 K)   -53 meV per atom
E   -2.25 eV/atom
Calculated volume   17.559 Å³/atom

---

A plane-wave DFT calculation with PBE was carried out for an optimized crystal structure of Mg2AlAg2.

Cell and atoms, written as POSCAR:
```
Mg2AlAg2
1.0
8.116 0.000 0.000
0.000 8.116 0.000
0.000 0.000 2.976
Mg Al Ag
4 2 4
direct
0.134 0.366 0.000
0.366 0.866 0.000
0.634 0.134 0.000
0.866 0.634 0.000
0.000 0.000 0.000
0.500 0.500 0.000
0.163 0.663 0.500
0.337 0.163 0.500
0.663 0.837 0.500
0.837 0.337 0.500
```

Properties
Energy above the lowest structure with this stoichiometry   180 meV/atom
Total magnetization   0.00 μB per formula unit
Space-group type   No. 127
ΔH_f (0 K)   27 meV per atom
E   -2.50 eV/atom
Calculated volume   19.603 Å³/atom

---

A plane-wave DFT calculation with PBE was carried out for an optimized crystal structure of BeAu2Se.

Cell and atoms, written as POSCAR:
```
BeAu2Se
1.0
3.402 0.000 0.000
0.000 3.402 0.000
0.000 0.000 5.914
Be Au Se
1 2 1
direct
0.000 0.000 0.000
0.000 0.000 0.580
0.500 0.500 0.849
0.500 0.500 0.279
```

Properties
Energy above the lowest structure with this stoichiometry   236 meV/atom
Total magnetization   0.00 μB per formula unit
Raw formation energy   0.198 eV/atom
Space-group type   No. 99
E   -3.24 eV/atom
Calculated volume   17.115 Å³/atom

---

A plane-wave DFT calculation with PBE was carried out for an optimized crystal structure of AcHoAl2Pd5.

Cell and atoms, written as POSCAR:
```
AcHoAl2Pd5
1.0
4.360 0.000 0.000
0.000 4.360 0.000
0.000 0.000 9.254
Ac Ho Al Pd
1 1 2 5
direct
0.000 0.000 0.000
0.000 0.000 0.500
0.500 0.500 0.361
0.500 0.500 0.639
0.000 0.500 0.237
0.000 0.500 0.763
0.500 0.000 0.237
0.500 0.000 0.763
0.500 0.500 0.000
```

Properties
Total magnetization   0.00 μB per formula unit
Space-group type   No. 123
ΔH_f (0 K)   -778 meV per atom
E   -5.46 eV/atom
Calculated volume   19.543 Å³/atom

---

A plane-wave DFT calculation with PBE was carried out for an optimized crystal structure of SrReNi2.

Cell and atoms, written as POSCAR:
```
SrReNi2
1.0
4.826 0.000 0.000
0.000 4.826 0.000
0.000 0.000 2.747
Sr Re Ni
1 1 2
direct
0.000 0.000 0.000
0.500 0.500 0.000
0.000 0.500 0.500
0.500 0.000 0.500
```

Properties
Energy above the lowest structure with this stoichiometry   432 meV/atom
Total magnetization   1.05 μB per formula unit
Space-group type   No. 123
ΔH_f (0 K)   574 meV per atom
E   -5.85 eV/atom
Calculated volume   15.997 Å³/atom